14
Lattice="-1.3334 5.0561 -0.8730 -2.6604 -2.7578 3.5960 4.8406 2.2324 5.1221" Properties=species:S:1:pos:R:3 comment="GGA+U Fe4SiO9, relaxed" space_group=P1 dft_energy_ev_per_atom=-6.576 m_tot_mub_per_fu=16.000 pbc="T T T"
Si 2.6184 4.4200 5.2302
Fe 2.2712 1.8396 6.8197
Fe 0.5957 -0.7071 5.0114
Fe 1.1635 1.9362 3.5401
Fe 1.5117 4.5378 1.9839
O 3.0308 1.4772 3.2547
O 1.8313 5.3366 6.3017
O 3.2441 3.0959 5.9124
O 3.7645 5.2706 4.4673
O 0.9710 1.3106 5.4007
O 1.4702 3.9106 4.0452
O 0.9179 0.0108 3.2350
O -0.7068 2.4400 3.7453
O 1.3365 2.5719 1.7517